# LiMnVO4 (SCAN, single point on PBEsol structure)
# E_form (uncorrected): -2.4178 eV/atom
# energy relative to the lowest polymorph listed for this composition: 58 meV per atom
data_LiMnVO4
_cell_length_a 5.903
_cell_length_b 5.903
_cell_length_c 8.113
_cell_angle_alpha 90.00
_cell_angle_beta 90.00
_cell_angle_gamma 90.00
_space_group_name_H-M_alt 'P 43 2 2'
_space_group_IT_number 95
loop_
_space_group_symop_operation_xyz
'x,y,z'
'-y,x,z+3/4'
'-x,-y,z+1/2'
'y,-x,z+1/4'
'x,-y,-z+1/2'
'-y,-x,-z+3/4'
'-x,y,-z'
'y,x,-z+1/4'
loop_
_atom_site_label
_atom_site_type_symbol
_atom_site_fract_x
_atom_site_fract_y
_atom_site_fract_z
Li1 Li 0.000 0.247 0.000
Mn1 Mn 0.254 0.254 0.625
V1 V 0.224 0.500 0.250
O1 O 0.032 0.271 0.259
O2 O 0.270 0.487 0.021

=====

# Sr2TaTe (SCAN, single point on PBEsol structure)
# E_form (uncorrected): 0.1971 eV/atom
# energy relative to the lowest polymorph listed for this composition: 0 meV per atom
data_Sr2TaTe
_cell_length_a 7.598
_cell_length_b 7.621
_cell_length_c 4.140
_cell_angle_alpha 90.00
_cell_angle_beta 90.00
_cell_angle_gamma 90.00
_space_group_name_H-M_alt 'C m m m'
_space_group_IT_number 65
_space_group_name_Hall '-C 2 2'
loop_
_atom_site_label
_atom_site_type_symbol
_atom_site_fract_x
_atom_site_fract_y
_atom_site_fract_z
Sr1 Sr 0.250 0.250 0.000
Ta1 Ta 0.000 0.000 0.500
Te1 Te 0.000 0.500 0.500

=====

# Mg4In (SCAN, single point on PBEsol structure)
# formation enthalpy at 0 K: -0.106 eV per atom
data_Mg4In
_cell_length_a 7.077
_cell_length_b 7.077
_cell_length_c 4.455
_cell_angle_alpha 90.00
_cell_angle_beta 90.00
_cell_angle_gamma 90.00
_space_group_name_H-M_alt 'I 4/m'
_space_group_IT_number 87
_space_group_name_Hall '-I 4'
loop_
_atom_site_label
_atom_site_type_symbol
_atom_site_fract_x
_atom_site_fract_y
_atom_site_fract_z
Mg1 Mg 0.101 0.301 0.000
In1 In 0.000 0.000 0.500

=====

# Y3MnAu (SCAN, single point on PBEsol structure)
# formation enthalpy at 0 K: -0.046 eV per atom
data_Y3MnAu
_cell_length_a 5.424
_cell_length_b 5.424
_cell_length_c 5.424
_cell_angle_alpha 90.00
_cell_angle_beta 90.00
_cell_angle_gamma 90.00
_space_group_name_H-M_alt 'P m -3 m'
_space_group_IT_number 221
_space_group_name_Hall '-P 4 2 3'
loop_
_atom_site_label
_atom_site_type_symbol
_atom_site_fract_x
_atom_site_fract_y
_atom_site_fract_z
Y1 Y 0.000 0.000 0.500
Mn1 Mn 0.500 0.500 0.500
Au1 Au 0.000 0.000 0.000

=====

# Mg2SbOs (SCAN, single point on PBEsol structure)
# E_form (uncorrected): 0.1665 eV/atom
data_Mg2SbOs
_cell_length_a 5.706
_cell_length_b 8.425
_cell_length_c 2.964
_cell_angle_alpha 90.00
_cell_angle_beta 90.00
_cell_angle_gamma 90.00
_space_group_name_H-M_alt 'C m m m'
_space_group_IT_number 65
_space_group_name_Hall '-C 2 2'
loop_
_atom_site_label
_atom_site_type_symbol
_atom_site_fract_x
_atom_site_fract_y
_atom_site_fract_z
Mg1 Mg 0.250 0.250 0.000
Sb1 Sb 0.000 0.000 0.500
Os1 Os 0.000 0.500 0.500

=====

# LiCuNi (SCAN, single point on PBEsol structure)
# formation enthalpy at 0 K: 0.056 eV per atom
# energy relative to the lowest polymorph listed for this composition: 60 meV per atom
data_LiCuNi
_cell_length_a 7.753
_cell_length_b 3.718
_cell_length_c 2.414
_cell_angle_alpha 90.00
_cell_angle_beta 108.01
_cell_angle_gamma 90.00
_space_group_name_H-M_alt 'C 1 m 1'
_space_group_IT_number 8
loop_
_space_group_symop_operation_xyz
'x,y,z'
'x,-y,z'
'x+1/2,y+1/2,z'
'x+1/2,-y+1/2,z'
loop_
_atom_site_label
_atom_site_type_symbol
_atom_site_fract_x
_atom_site_fract_y
_atom_site_fract_z
Li1 Li 0.000 0.000 0.000
Cu1 Cu 0.172 0.500 0.673
Ni1 Ni 0.329 0.000 0.328

=====

# TaAgPt2 (SCAN, single point on PBEsol structure)
# formation enthalpy at 0 K: -0.253 eV per atom
data_TaAgPt2
_cell_length_a 3.453
_cell_length_b 3.453
_cell_length_c 5.423
_cell_angle_alpha 90.00
_cell_angle_beta 90.00
_cell_angle_gamma 90.00
_space_group_name_H-M_alt 'P 4 m m'
_space_group_IT_number 99
loop_
_space_group_symop_operation_xyz
'x,y,z'
'-y,x,z'
'-x,-y,z'
'y,-x,z'
'-x,y,z'
'y,x,z'
'x,-y,z'
'-y,-x,z'
loop_
_atom_site_label
_atom_site_type_symbol
_atom_site_fract_x
_atom_site_fract_y
_atom_site_fract_z
Ta1 Ta 0.000 0.000 0.000
Ag1 Ag 0.500 0.500 0.284
Pt1 Pt 0.000 0.000 0.517
Pt2 Pt 0.500 0.500 0.788

=====

# CaSiGeRh2 (SCAN, single point on PBEsol structure)
# E_form (uncorrected): 0.4298 eV/atom
data_CaSiGeRh2
_cell_length_a 4.494
_cell_length_b 4.494
_cell_length_c 5.216
_cell_angle_alpha 90.00
_cell_angle_beta 90.00
_cell_angle_gamma 90.00
_space_group_name_H-M_alt 'P 4/m m m'
_space_group_IT_number 123
_space_group_name_Hall '-P 4 2'
loop_
_atom_site_label
_atom_site_type_symbol
_atom_site_fract_x
_atom_site_fract_y
_atom_site_fract_z
Ca1 Ca 0.000 0.000 0.000
Si1 Si 0.500 0.500 0.000
Ge1 Ge 0.000 0.000 0.500
Rh1 Rh 0.000 0.500 0.500

=====

# Be2TlSe (SCAN, single point on PBEsol structure)
# E_form (uncorrected): 0.1557 eV/atom
# energy relative to the lowest polymorph listed for this composition: 0 meV per atom
data_Be2TlSe
_cell_length_a 10.909
_cell_length_b 3.514
_cell_length_c 4.096
_cell_angle_alpha 90.00
_cell_angle_beta 101.70
_cell_angle_gamma 90.00
_space_group_name_H-M_alt 'C 1 m 1'
_space_group_IT_number 8
loop_
_space_group_symop_operation_xyz
'x,y,z'
'x,-y,z'
'x+1/2,y+1/2,z'
'x+1/2,-y+1/2,z'
loop_
_atom_site_label
_atom_site_type_symbol
_atom_site_fract_x
_atom_site_fract_y
_atom_site_fract_z
Be1 Be 0.000 0.000 0.000
Be2 Be 0.120 0.500 0.106
Tl1 Tl 0.157 0.000 0.611
Se1 Se 0.403 0.000 0.101

=====

# La2TeP (SCAN, single point on PBEsol structure)
# E_form (uncorrected): -1.5748 eV/atom
# energy relative to the lowest polymorph listed for this composition: 285 meV per atom
data_La2TeP
_cell_length_a 3.925
_cell_length_b 4.017
_cell_length_c 15.007
_cell_angle_alpha 90.00
_cell_angle_beta 90.00
_cell_angle_gamma 90.00
_space_group_name_H-M_alt 'I m m 2'
_space_group_IT_number 44
loop_
_space_group_symop_operation_xyz
'x,y,z'
'-x,-y,z'
'-x,y,z'
'x,-y,z'
'x+1/2,y+1/2,z+1/2'
'-x+1/2,-y+1/2,z+1/2'
'-x+1/2,y+1/2,z+1/2'
'x+1/2,-y+1/2,z+1/2'
loop_
_atom_site_label
_atom_site_type_symbol
_atom_site_fract_x
_atom_site_fract_y
_atom_site_fract_z
La1 La 0.000 0.000 0.000
La2 La 0.000 0.500 0.222
Te1 Te 0.000 0.000 0.393
P1 P 0.000 0.500 0.647

=====

# SrIn3N (SCAN, single point on PBEsol structure)
# E_form (uncorrected): 1.6104 eV/atom
# energy relative to the lowest polymorph listed for this composition: 1316 meV per atom
data_SrIn3N
_cell_length_a 6.220
_cell_length_b 6.220
_cell_length_c 6.220
_cell_angle_alpha 90.00
_cell_angle_beta 90.00
_cell_angle_gamma 90.00
_space_group_name_H-M_alt 'P m -3 m'
_space_group_IT_number 221
_space_group_name_Hall '-P 4 2 3'
loop_
_atom_site_label
_atom_site_type_symbol
_atom_site_fract_x
_atom_site_fract_y
_atom_site_fract_z
Sr1 Sr 0.000 0.000 0.000
In1 In 0.000 0.000 0.500
N1 N 0.500 0.500 0.500

=====

# Li2YMg (SCAN, single point on PBEsol structure)
# formation enthalpy at 0 K: 0.121 eV per atom
data_Li2YMg
_cell_length_a 7.383
_cell_length_b 7.407
_cell_length_c 3.267
_cell_angle_alpha 90.00
_cell_angle_beta 90.00
_cell_angle_gamma 90.00
_space_group_name_H-M_alt 'C m m m'
_space_group_IT_number 65
_space_group_name_Hall '-C 2 2'
loop_
_atom_site_label
_atom_site_type_symbol
_atom_site_fract_x
_atom_site_fract_y
_atom_site_fract_z
Li1 Li 0.250 0.250 0.000
Y1 Y 0.000 0.000 0.500
Mg1 Mg 0.000 0.500 0.500

=====

# KTl2Cd (SCAN, single point on PBEsol structure)
# formation enthalpy at 0 K: -0.072 eV per atom
data_KTl2Cd
_cell_length_a 3.664
_cell_length_b 4.106
_cell_length_c 8.050
_cell_angle_alpha 90.00
_cell_angle_beta 90.00
_cell_angle_gamma 90.00
_space_group_name_H-M_alt 'P m m 2'
_space_group_IT_number 25
loop_
_space_group_symop_operation_xyz
'x,y,z'
'-x,-y,z'
'-x,y,z'
'x,-y,z'
loop_
_atom_site_label
_atom_site_type_symbol
_atom_site_fract_x
_atom_site_fract_y
_atom_site_fract_z
K1 K 0.000 0.000 0.000
Tl1 Tl 0.000 0.000 0.518
Tl2 Tl 0.500 0.500 0.294
Cd1 Cd 0.500 0.500 0.707

=====

# CsB2P2HO9 (SCAN, single point on PBEsol structure)
# VASP energy: -11.2971 eV per atom
data_CsB2P2HO9
_cell_length_a 6.854
_cell_length_b 12.361
_cell_length_c 8.985
_cell_angle_alpha 90.00
_cell_angle_beta 98.08
_cell_angle_gamma 90.00
_space_group_name_H-M_alt 'P 1 21/c 1'
_space_group_IT_number 14
loop_
_space_group_symop_operation_xyz
'x,y,z'
'-x,-y,-z'
'-x,y+1/2,-z+1/2'
'x,-y+1/2,z+1/2'
loop_
_atom_site_label
_atom_site_type_symbol
_atom_site_fract_x
_atom_site_fract_y
_atom_site_fract_z
Cs1 Cs 0.222 0.118 0.186
B1 B 0.117 0.635 0.967
B2 B 0.432 0.640 0.860
P1 P 0.213 0.038 0.675
P2 P 0.369 0.708 0.558
H1 H 0.282 0.527 0.412
O1 O 0.095 0.135 0.600
O2 O 0.130 0.571 0.111
O3 O 0.154 0.750 0.015
O4 O 0.193 0.036 0.844
O5 O 0.242 0.597 0.867
O6 O 0.386 0.594 0.502
O7 O 0.429 0.049 0.648
O8 O 0.439 0.715 0.729
O9 O 0.494 0.209 0.507

=====

# Tl2HgSb (SCAN, single point on PBEsol structure)
# E_form (uncorrected): 0.0899 eV/atom
# energy relative to the lowest polymorph listed for this composition: 89 meV per atom
data_Tl2HgSb
_cell_length_a 3.431
_cell_length_b 5.486
_cell_length_c 11.373
_cell_angle_alpha 90.00
_cell_angle_beta 90.00
_cell_angle_gamma 90.00
_space_group_name_H-M_alt 'I m m m'
_space_group_IT_number 71
_space_group_name_Hall '-I 2 2'
loop_
_atom_site_label
_atom_site_type_symbol
_atom_site_fract_x
_atom_site_fract_y
_atom_site_fract_z
Tl1 Tl 0.000 0.000 0.247
Hg1 Hg 0.000 0.500 0.000
Sb1 Sb 0.000 0.500 0.500

=====

# Fe3P (SCAN, single point on PBEsol structure)
# formation enthalpy at 0 K: -0.323 eV per atom
# energy relative to the lowest polymorph listed for this composition: 0 meV per atom
data_Fe3P
_cell_length_a 8.882
_cell_length_b 8.882
_cell_length_c 4.312
_cell_angle_alpha 90.00
_cell_angle_beta 90.00
_cell_angle_gamma 90.00
_space_group_name_H-M_alt 'I -4'
_space_group_IT_number 82
loop_
_space_group_symop_operation_xyz
'x,y,z'
'y,-x,-z'
'-x,-y,z'
'-y,x,-z'
'x+1/2,y+1/2,z+1/2'
'y+1/2,-x+1/2,-z+1/2'
'-x+1/2,-y+1/2,z+1/2'
'-y+1/2,x+1/2,-z+1/2'
loop_
_atom_site_label
_atom_site_type_symbol
_atom_site_fract_x
_atom_site_fract_y
_atom_site_fract_z
Fe1 Fe 0.031 0.138 0.238
Fe2 Fe 0.078 0.606 0.017
Fe3 Fe 0.172 0.721 0.493
P1 P 0.044 0.209 0.742

=====

# Ca3Si4Sn2O14 (SCAN, single point on PBEsol structure)
# E_form (uncorrected): -2.8311 eV/atom
data_Ca3Si4Sn2O14
_cell_length_a 16.274
_cell_length_b 7.466
_cell_length_c 11.374
_cell_angle_alpha 90.00
_cell_angle_beta 120.18
_cell_angle_gamma 90.00
_space_group_name_H-M_alt 'C 1 2/c 1'
_space_group_IT_number 15
loop_
_space_group_symop_operation_xyz
'x,y,z'
'-x,-y,-z'
'-x,y,-z+1/2'
'x,-y,z+1/2'
'x+1/2,y+1/2,z'
'-x+1/2,-y+1/2,-z'
'-x+1/2,y+1/2,-z+1/2'
'x+1/2,-y+1/2,z+1/2'
loop_
_atom_site_label
_atom_site_type_symbol
_atom_site_fract_x
_atom_site_fract_y
_atom_site_fract_z
Ca1 Ca 0.000 0.180 0.250
Ca2 Ca 0.236 0.483 0.506
Si1 Si 0.125 0.113 0.078
Si2 Si 0.195 0.235 0.708
Sn1 Sn 0.000 0.303 0.750
Sn2 Sn 0.000 0.500 0.000
O1 O 0.048 0.245 0.084
O2 O 0.071 0.489 0.397
O3 O 0.104 0.016 0.940
O4 O 0.113 0.385 0.674
O5 O 0.152 0.032 0.705
O6 O 0.227 0.230 0.125
O7 O 0.249 0.237 0.624

=====

# Mn2CoMo (SCAN, single point on PBEsol structure)
# formation enthalpy at 0 K: 0.120 eV per atom
data_Mn2CoMo
_cell_length_a 2.527
_cell_length_b 3.959
_cell_length_c 4.859
_cell_angle_alpha 90.00
_cell_angle_beta 102.94
_cell_angle_gamma 90.00
_space_group_name_H-M_alt 'P 1 m 1'
_space_group_IT_number 6
loop_
_space_group_symop_operation_xyz
'x,y,z'
'x,-y,z'
loop_
_atom_site_label
_atom_site_type_symbol
_atom_site_fract_x
_atom_site_fract_y
_atom_site_fract_z
Mn1 Mn 0.000 0.000 0.000
Mn2 Mn 0.263 0.500 0.776
Co1 Co 0.482 0.000 0.531
Mo1 Mo 0.771 0.500 0.273

=====

# SbOs4Au (SCAN, single point on PBEsol structure)
# E_form (uncorrected): 1.0721 eV/atom
data_SbOs4Au
_cell_length_a 7.379
_cell_length_b 7.379
_cell_length_c 7.379
_cell_angle_alpha 90.00
_cell_angle_beta 90.00
_cell_angle_gamma 90.00
_space_group_name_H-M_alt 'F -4 3 m'
_space_group_IT_number 216
_space_group_name_Hall 'F -4 2 3'
loop_
_atom_site_label
_atom_site_type_symbol
_atom_site_fract_x
_atom_site_fract_y
_atom_site_fract_z
Sb1 Sb 0.000 0.000 0.000
Os1 Os 0.125 0.125 0.625
Au1 Au 0.250 0.250 0.250

=====

# SrScBe2 (SCAN, single point on PBEsol structure)
# formation enthalpy at 0 K: 0.747 eV per atom
# energy relative to the lowest polymorph listed for this composition: 286 meV per atom
data_SrScBe2
_cell_length_a 6.656
_cell_length_b 6.656
_cell_length_c 6.656
_cell_angle_alpha 90.00
_cell_angle_beta 90.00
_cell_angle_gamma 90.00
_space_group_name_H-M_alt 'F -4 3 m'
_space_group_IT_number 216
_space_group_name_Hall 'F -4 2 3'
loop_
_atom_site_label
_atom_site_type_symbol
_atom_site_fract_x
_atom_site_fract_y
_atom_site_fract_z
Sr1 Sr 0.000 0.000 0.000
Sc1 Sc 0.250 0.250 0.250
Be1 Be 0.000 0.000 0.500
Be2 Be 0.250 0.250 0.750